(1)
# CuSi2Pb

A relaxed structure of CuSi2Pb (PBE-GGA, Alexandria via LeMat-Bulk).

a = 5.1683 Å, b = 5.1683 Å, c = 5.1683 Å
α = 138.27°, β = 112.47°, γ = 82.62°
Last column: nearest neighbours and their distance in Å.
Positions (direct):
Cu (0.5531, 0.5531, 0.0000)  2 Si 2.37
Pb (0.2652, 0.7652, 0.5000)  2 Cu 2.90, 4 Si 3.15-3.17
Si (0.9366, 0.9366, 0.0000)  2 Si 2.37
Si (0.7451, 0.2451, 0.5000)  2 Si 2.37, 2 Cu 2.37

## Properties
energy relative to the elements, uncorrected	1.92	eV/f.u.
space group	Imm2 (44)


(2)
# CuSi2Pb

A relaxed structure of CuSi2Pb (PBE-GGA, Alexandria via LeMat-Bulk).

a = 6.6704 Å, b = 6.6704 Å, c = 6.6704 Å
α = 33.12°, β = 33.12°, γ = 33.12°
Last column: nearest neighbours and their distance in Å.
Positions (direct):
Cu (0.5234, 0.5234, 0.5234)  3 Si 2.47
Pb (0.7584, 0.7584, 0.7584)  3 Cu 2.88, 3 Si 3.20
Si (0.9682, 0.9682, 0.9682)  3 Si 2.40
Si (0.2499, 0.2499, 0.2499)  3 Si 2.40, 3 Cu 2.47

## Properties
energy relative to the elements, uncorrected	1.08	eV/f.u.
space group	R3m (160)